SmThAl2Zn2: optimized geometry, PBE.

POSCAR file:
```
SmThAl2Zn2
1.0
4.507 0.000 0.000
-2.254 3.904 0.000
0.000 0.000 7.592
Zn Al Th Sm
2 2 1 1
Cartesian
0.000 2.602 1.849
2.254 1.301 5.743
2.254 1.301 1.868
0.000 2.602 5.724
0.000 0.000 3.796
0.000 0.000 0.000
```

Values from the calculation:
M_tot, μB per atom: 0.0000
Formation energy, eV/f.u.: -2.41
Total DFT energy (no corrections), eV for the cell shown: -24.58